Run a
ScNb3S: relaxed, GGA-PBE.

It has space group Pm-3m (No. 221), with a = 4.641 Å, b = 4.641 Å, c = 4.641 Å, α = 90.00°, β = 90.00° and γ = 90.00°. The inequivalent atoms are Sc at (0.000, 0.000, 0.000), Nb at (0.000, 0.500, 0.500) and S at (0.500, 0.500, 0.500).

Its total magnetization is 0.000 μB per atom.

***

Run b
ScNb3S: relaxed, GGA-PBE.

It has space group Pm-3m (No. 221), with a = 4.786 Å, b = 4.786 Å, c = 4.786 Å, α = 90.00°, β = 90.00° and γ = 90.00°. The inequivalent atoms are Sc at (0.000, 0.000, 0.000), Nb at (0.000, 0.000, 0.500) and S at (0.500, 0.500, 0.500).

Its total magnetization is 0.000 μB per atom.

***

Most stable: run a (next structure +1839 meV/atom)

***

Run a
ScNbS3: relaxed, GGA-PBE.

It has space group Pm-3m (No. 221), with a = 4.769 Å, b = 4.769 Å, c = 4.769 Å, α = 90.00°, β = 90.00° and γ = 90.00°. The inequivalent atoms are Sc at (0.000, 0.000, 0.000), Nb at (0.500, 0.500, 0.500) and S at (0.000, 0.500, 0.500).

Its total magnetization is 0.156 μB per atom.

***

Run b
ScNbS3: relaxed, GGA-PBE.

It has space group Pm-3m (No. 221), with a = 4.799 Å, b = 4.799 Å, c = 4.799 Å, α = 90.00°, β = 90.00° and γ = 90.00°. The inequivalent atoms are Sc at (0.000, 0.000, 0.000), Nb at (0.500, 0.500, 0.500) and S at (0.000, 0.000, 0.500).

Its total magnetization is 0.400 μB per atom.

***

Most stable: run a (next structure +426 meV/atom)

***

Run a
ScNbS2: relaxed, GGA-PBE.

It has space group I-42d (No. 122), with a = 5.601 Å, b = 5.601 Å, c = 11.587 Å, α = 90.00°, β = 90.00° and γ = 90.00°. The inequivalent atoms are Sc at (0.000, 0.000, 0.000), Nb at (0.000, 0.000, 0.500) and S at (0.240, 0.250, 0.625).

Its total magnetization is 0.333 μB per atom.

***

Run b
ScNbS2: relaxed, GGA-PBE.

It has space group R-3m (No. 166, hexagonal axes), with a = 3.3599 Å, b = 3.3599 Å, c = 24.8721 Å, α = 90.00°, β = 90.00° and γ = 120.00°. The inequivalent atoms are Sc at (0.0000, 0.0000, 0.0000), Nb at (0.0000, 0.0000, 0.5000) and S at (0.0000, 0.0000, 0.1021).

Its total magnetization is 0.000 μB per atom.

***

Run c
ScNbS2: relaxed, GGA-PBE.

It has space group Fm-3m (No. 225), with a = 6.303 Å, b = 6.303 Å, c = 6.303 Å, α = 90.00°, β = 90.00° and γ = 90.00°. The inequivalent atoms are Sc at (0.000, 0.000, 0.000), Nb at (0.000, 0.000, 0.500) and S at (0.250, 0.250, 0.250).

Its total magnetization is 0.000 μB per atom.

***

Most stable: run c (next structure +254 meV/atom)

***

Run a
Nb2Se2S: relaxed, GGA-PBE.

It has space group P4/mbm (No. 127), with a = 7.201 Å, b = 7.201 Å, c = 3.485 Å, α = 90.00°, β = 90.00° and γ = 90.00°. The inequivalent atoms are Nb at (0.146, 0.354, 0.000), Se at (0.144, 0.644, 0.500) and S at (0.000, 0.000, 0.000).

Its total magnetization is 0.000 μB per atom.

***

Run b
Nb2Se2S: relaxed, GGA-PBE.

It has space group Pnma (No. 62), with a = 7.267 Å, b = 5.134 Å, c = 11.209 Å, α = 90.00°, β = 90.00° and γ = 90.00°. The inequivalent atoms are Nb at (0.092, 0.250, 0.235), Nb at (0.182, 0.250, 0.606), Se at (0.013, 0.750, 0.206), Se at (0.123, 0.750, 0.569) and S at (0.190, 0.750, 0.900).

Its total magnetization is 0.000 μB per atom.

***

Most stable: run b (next structure +150 meV/atom)

***

Run a
Nb2SeS3: relaxed, GGA-PBE.

It has space group R-3m (No. 166, hexagonal axes), with a = 6.8168 Å, b = 6.8168 Å, c = 20.4836 Å, α = 90.00°, β = 90.00° and γ = 120.00°. The inequivalent atoms are Nb at (0.0000, 0.0000, 0.0000), Nb at (0.0000, 0.5000, 0.0000), Se at (0.0000, 0.0000, 0.2485) and S at (0.9999, 0.4999, 0.2586).

Its total magnetization is 0.000 μB per atom.

***

Run b
Nb2SeS3: relaxed, GGA-PBE.

It has space group Cmcm (No. 63), with a = 8.556 Å, b = 8.330 Å, c = 5.847 Å, α = 90.00°, β = 90.00° and γ = 90.00°. The inequivalent atoms are Nb at (0.242, 0.000, 0.000), Se at (0.000, 0.409, 0.250), S at (0.000, 0.078, 0.250) and S at (0.169, 0.252, 0.750).

Its total magnetization is 0.000 μB per atom.

***

Most stable: run a (next structure +404 meV/atom)

***

Run a
NbSi2S2: relaxed, GGA-PBE.

It has space group I4/mmm (No. 139), with a = 3.276 Å, b = 3.276 Å, c = 16.028 Å, α = 90.00°, β = 90.00° and γ = 90.00°. The inequivalent atoms are Nb at (0.000, 0.000, 0.000), Si at (0.000, 0.500, 0.250) and S at (0.000, 0.000, 0.413).

Its total magnetization is 0.000 μB per atom.

***

Run b
NbSi2S2: relaxed, GGA-PBE.

It has space group P4/mbm (No. 127), with a = 7.144 Å, b = 7.144 Å, c = 3.271 Å, α = 90.00°, β = 90.00° and γ = 90.00°. The inequivalent atoms are Nb at (0.000, 0.000, 0.000), Si at (0.204, 0.296, 0.500) and S at (0.145, 0.645, 0.000).

Its total magnetization is 0.000 μB per atom.

***

Most stable: run a (next structure +119 meV/atom)

***

Run a
Nb2SnS: relaxed, GGA-PBE.

It has space group I-42d (No. 122), with a = 4.911 Å, b = 4.911 Å, c = 15.680 Å, α = 90.00°, β = 90.00° and γ = 90.00°. The inequivalent atoms are Nb at (0.145, 0.250, 0.125), Sn at (0.000, 0.000, 0.500) and S at (0.000, 0.000, 0.000).

Its total magnetization is 0.000 μB per atom.

***

Run b
Nb2SnS: relaxed, GGA-PBE.

It has space group Fm-3m (No. 225), with a = 6.597 Å, b = 6.597 Å, c = 6.597 Å, α = 90.00°, β = 90.00° and γ = 90.00°. The inequivalent atoms are Nb at (0.250, 0.250, 0.250), Sn at (0.000, 0.000, 0.000) and S at (0.000, 0.000, 0.500).

Its total magnetization is 0.000 μB per atom.

***

Most stable: run b (next structure +359 meV/atom)

***

Run a
NbSnS3: relaxed, GGA-PBE.

It has space group Pm-3m (No. 221), with a = 4.831 Å, b = 4.831 Å, c = 4.831 Å, α = 90.00°, β = 90.00° and γ = 90.00°. The inequivalent atoms are Nb at (0.000, 0.000, 0.000), Sn at (0.500, 0.500, 0.500) and S at (0.000, 0.000, 0.500).

Its total magnetization is 0.000 μB per atom.

***

Run b
NbSnS3: relaxed, GGA-PBE.

It has space group Pm-3m (No. 221), with a = 4.896 Å, b = 4.896 Å, c = 4.896 Å, α = 90.00°, β = 90.00° and γ = 90.00°. The inequivalent atoms are Nb at (0.000, 0.000, 0.000), Sn at (0.500, 0.500, 0.500) and S at (0.000, 0.500, 0.500).

Its total magnetization is 0.504 μB per atom.

***

Most stable: run a (next structure +1078 meV/atom)